Entry 1
DFT (PBE) results for a relaxed structure of Co2OsBr.

Geometry as extended XYZ:
```
4
Lattice="4.528 0.000 0.000 0.000 4.528 0.000 0.000 0.000 2.742" Properties=species:S:1:pos:R:3 pbc="T T T"
Co 0.000 2.264 0.000
Co 2.264 0.000 0.000
Os 0.000 0.000 1.371
Br 2.264 2.264 1.371
```

Summary:
- Space-group type: P4/mmm (123)
- Total magnetization: 3.0 μB per cell
- Density: 11462 kg/m3

---

Entry 2
DFT (PBE) results for a relaxed structure of Co2OsBr.

Geometry as extended XYZ:
```
4
Lattice="4.112 0.000 0.000 0.000 1.398 5.022 0.000 -1.398 5.022" Properties=species:S:1:pos:R:3 pbc="T T T"
Co 0.000 0.000 0.000
Co 2.056 0.000 1.384
Os 2.056 0.000 4.330
Br 0.000 0.000 2.544
```

Summary:
- Space-group type: Amm2 (38)
- Total magnetization: 1.6 μB per cell
- Density: 11162 kg/m3

---

Entry 3
DFT (PBE) results for a relaxed structure of Co2OsBr.

Geometry as extended XYZ:
```
4
Lattice="2.708 -3.665 0.000 2.708 3.665 0.000 0.000 0.000 2.782" Properties=species:S:1:pos:R:3 pbc="T T T"
Co 1.354 1.833 0.000
Co 1.354 -1.833 0.000
Os 0.000 0.000 1.391
Br 2.708 0.000 1.391
```

Summary:
- Space-group type: Cmmm (65)
- Total magnetization: 2.9 μB per cell
- Density: 11669 kg/m3

---

Of all the structures shown, which is most stable? entry 2, and entry 1 is the least stable.